# Tm3Zn2Ni6 GGA-PBE optimized geometry
data_Tm3Zn2Ni6
_chemical_formula_sum 'Tm6 Zn4 Ni12'
_symmetry_space_group_name_H-M 'P 1'
_symmetry_Int_Tables_number 1
_cell_length_a 7.6491
_cell_length_b 7.6491
_cell_length_c 7.6491
_cell_angle_alpha 109.47
_cell_angle_beta 109.47
_cell_angle_gamma 109.47
loop_
_symmetry_equiv_pos_as_xyz
'x,y,z'
loop_
_atom_site_label
_atom_site_fract_x
_atom_site_fract_y
_atom_site_fract_z
Tm1 0.7050 0.0000 0.7050
Tm2 0.2950 0.0000 0.2950
Tm3 0.0000 0.2950 0.2950
Tm4 0.0000 0.7050 0.7050
Tm5 0.2950 0.2950 0.0000
Tm6 0.7050 0.7050 0.0000
Zn1 0.0000 0.5000 0.0000
Zn2 0.5000 0.0000 0.0000
Zn3 0.0000 0.0000 0.5000
Zn4 0.5000 0.5000 0.5000
Ni1 0.6606 0.3212 0.6606
Ni2 0.6606 0.0000 0.3394
Ni3 0.3394 0.0000 0.6606
Ni4 0.3394 0.6788 0.3394
Ni5 0.0000 0.6606 0.3394
Ni6 0.6788 0.3394 0.3394
Ni7 0.3212 0.6606 0.6606
Ni8 0.0000 0.3394 0.6606
Ni9 0.3394 0.6606 0.0000
Ni10 0.6606 0.6606 0.3212
Ni11 0.3394 0.3394 0.6788
Ni12 0.6606 0.3394 0.0000
# N(E_F)   5.1 states/eV/f.u.
# Volume   15.66 Å³ per atom
# Total energy   -5.094 eV/atom

---

# Rb4Mg3TlF12 GGA-PBE optimized geometry
data_Rb4Mg3TlF12
_chemical_formula_sum 'Rb4 Mg3 Tl1 F12'
_symmetry_space_group_name_H-M 'P 1'
_symmetry_Int_Tables_number 1
_cell_length_a 7.4295
_cell_length_b 7.4295
_cell_length_c 7.4295
_cell_angle_alpha 109.47
_cell_angle_beta 109.47
_cell_angle_gamma 109.47
loop_
_symmetry_equiv_pos_as_xyz
'x,y,z'
loop_
_atom_site_label
_atom_site_fract_x
_atom_site_fract_y
_atom_site_fract_z
Rb1 0.5000 0.5000 0.5000
Rb2 0.0000 0.0000 0.5000
Rb3 0.5000 0.0000 0.0000
Rb4 0.0000 0.5000 0.0000
Mg1 0.5000 0.0000 0.5000
Mg2 0.5000 0.5000 0.0000
Mg3 0.0000 0.5000 0.5000
Tl1 0.0000 0.0000 0.0000
F1 0.2500 0.5000 0.7500
F2 0.7263 0.0000 0.7263
F3 0.2737 0.0000 0.2737
F4 0.7500 0.5000 0.2500
F5 0.7263 0.7263 0.0000
F6 0.2737 0.2737 0.0000
F7 0.7500 0.2500 0.5000
F8 0.2500 0.7500 0.5000
F9 0.5000 0.2500 0.7500
F10 0.0000 0.7263 0.7263
F11 0.5000 0.7500 0.2500
F12 0.0000 0.2737 0.2737
# Formation energy (no corrections)   -2946 meV per atom
# N(E_F)   3.2 states/eV/f.u.
# Volume   15.78 Å³ per atom

---

# CeGa3Ir2 GGA-PBE optimized geometry
data_CeGa3Ir2
_chemical_formula_sum 'Ce2 Ga6 Ir4'
_symmetry_space_group_name_H-M 'P 1'
_symmetry_Int_Tables_number 1
_cell_length_a 5.9369
_cell_length_b 5.9369
_cell_length_c 7.8545
_cell_angle_alpha 67.79
_cell_angle_beta 67.79
_cell_angle_gamma 60.00
loop_
_symmetry_equiv_pos_as_xyz
'x,y,z'
loop_
_atom_site_label
_atom_site_fract_x
_atom_site_fract_y
_atom_site_fract_z
Ce1 0.7855 0.7855 0.6434
Ce2 0.2145 0.2145 0.3566
Ga1 0.2473 0.7363 0.2802
Ga2 0.7363 0.2473 0.2802
Ga3 0.7363 0.7363 0.2802
Ga4 0.2637 0.7527 0.7198
Ga5 0.7527 0.2637 0.7198
Ga6 0.2637 0.2637 0.7198
Ir1 0.0000 0.0000 0.0000
Ir2 0.0000 0.5000 0.0000
Ir3 0.5000 0.5000 0.0000
Ir4 0.5000 0.0000 0.0000
# N(E_F)   6.1 states/eV/f.u.
# Volume   17.98 Å³ per atom
# Total energy   -5.862 eV/atom